# La2Y2Au3

An optimized crystal structure of La2Y2Au3 (PBE, Alexandria).

Computed properties:
- DOS at the Fermi energy (states/eV/atom) = 1.21
- formation energy from the elements (meV/atom) = -665.3

Structure (CIF):
```
data_La2Y2Au3
_chemical_formula_sum 'La4 Y4 Au6'
_cell_length_a 7.924
_cell_length_b 7.924
_cell_length_c 7.924
_cell_angle_alpha 109.47
_cell_angle_beta 109.47
_cell_angle_gamma 109.47
_symmetry_space_group_name_H-M 'P 1'
_symmetry_Int_Tables_number 1
loop_
_symmetry_equiv_pos_as_xyz
'x,y,z'
loop_
_atom_site_label
_atom_site_type_symbol
_atom_site_fract_x
_atom_site_fract_y
_atom_site_fract_z
Au1 Au 0.250 0.857 0.107
Au2 Au 0.893 0.250 0.643
Au3 Au 0.607 0.750 0.857
La1 La 0.855 0.500 0.000
Au4 Au 0.750 0.643 0.393
Y1 Y 0.364 0.500 0.000
Y2 Y 0.500 0.864 0.500
Au5 Au 0.143 0.393 0.250
Y3 Y 0.000 0.000 0.864
La2 La 0.645 0.145 0.145
Y4 Y 0.136 0.636 0.636
Au6 Au 0.357 0.107 0.750
La3 La 0.000 0.000 0.355
La4 La 0.500 0.355 0.500
```